# 1
DFT (PBE) results for CdAgRu2 after structural relaxation.

Lattice parameters (Å, degrees): 3.8971 3.8971 8.7497 90.00 90.00 90.00
Space group I4/mmm (No. 139)
Asymmetric unit:
Cd  0.0000  0.0000  0.0000 (multiplicity 2)
Ag  0.0000  0.0000  0.5000 (multiplicity 2)
Ru  0.0000  0.5000  0.2500 (multiplicity 4)

Summary:
E_form   0.56 eV/atom

# 2
DFT (PBE) results for LaVPdI2 after structural relaxation.

Lattice parameters (Å, degrees): 5.3401 5.3401 4.8987 90.00 90.00 90.00
Space group P4/mmm (No. 123)
Asymmetric unit:
La  0.0000  0.0000  0.0000 (multiplicity 1)
V  0.5000  0.5000  0.5000 (multiplicity 1)
Pd  0.5000  0.5000  0.0000 (multiplicity 1)
I  0.0000  0.5000  0.5000 (multiplicity 2)

Summary:
Energy relative to the elements, uncorrected   -0.09 eV/atom

Final energy, respectively: -40.168, -22.766 eV/cell.